Below is crystalline KRb2NaSb at its relaxed geometry, with properties calculated at the GGA-PBE level.

Cell lengths 7.259, 7.259, 6.007 Å; angles 90.00, 90.00, 90.00 degrees
Fractional positions:
Rb 0.500 0.000 0.000
Sb 0.000 0.000 0.000
K 0.500 0.500 0.500
Na 0.000 0.000 0.500
Rb 0.000 0.500 0.000

Summary:
Total energy, eV/atom: -1.84
Relative energy among the computed polymorphs, kcal/mol of atoms: 0.00
E_form (uncorrected), eV per atom: -0.1487